Material: Sc2As
Method: DFT, GGA-PBE
State: relaxed

a b c (Å): 5.3720 5.3720 10.6490
angles (deg): 90.00 90.00 120.00
Closest atoms and distances in Å follow each position.
Fractional coordinates of all 12 atoms:
1 Sc 0.0000 0.0000 0.5000  6 Sc 3.08, 6 As 3.29
2 Sc 0.1662 0.3323 0.7500  4 Sc 2.68-2.69
3 Sc 0.1662 0.8338 0.7500  4 Sc 2.68-2.69
4 Sc 0.6677 0.8338 0.7500  4 Sc 2.68-2.69
5 Sc 0.3323 0.1662 0.2500  4 Sc 2.68-2.69
6 Sc 0.8338 0.6677 0.2500  4 Sc 2.68-2.69
7 Sc 0.0000 0.0000 0.0000  6 Sc 3.08, 6 As 3.29
8 Sc 0.8338 0.1662 0.2500  4 Sc 2.68-2.69
9 As 0.3333 0.6667 0.1039  9 Sc 3.10-3.29, 1 As 3.11
10 As 0.6667 0.3333 0.8961  9 Sc 3.10-3.29, 1 As 3.11
11 As 0.3333 0.6667 0.3961  9 Sc 3.10-3.29, 1 As 3.11
12 As 0.6667 0.3333 0.6039  9 Sc 3.10-3.29, 1 As 3.11

Properties
SG: P6_3/mmc, No. 194
M_tot: 0.0 μB/f.u.
ΔE_f: -0.01 eV/atom